Entry from the Alexandria database: a geometry-optimized Ac4Tl2HgPb structure (PBE).

Cell: 5.8375 5.8375 10.1136 Å, 73.23 73.23 60.00°
Sites, in units of the cell vectors:
Ac 0.3760 0.3760 0.8719
Ac 0.8741 0.8741 0.3777
Ac 0.1259 0.1259 0.6223
Ac 0.6240 0.6240 0.1281
Tl 0.7527 0.7527 0.7420
Tl 0.2473 0.2473 0.2580
Hg 0.5000 0.5000 0.5000
Pb 0.0000 0.0000 0.0000

Total moment, μB per atom: 0.0000
Space-group type: R-3m (166)
Theoretical density, g cm⁻³: 10.2
Formation energy from the elements, meV/atom: -413
Raw total energy, eV for the cell shown: -28.479
DOS at the Fermi energy, states/eV per cell: 10.0
Crystal system: trigonal